The following is a PBE calculation of a relaxed structure of CeSc5Al6, from Alexandria via LeMat-Bulk.

Summary:
Its final energy is -5.4031 eV per atom. As for the volume: 20.3 Å³ per atom. The space group is P2/m (10). The value obtained for the density of states at the Fermi level is 9.564 states/eV/f.u. The formation energy comes out at -0.3992 eV per atom.

Cell lengths 4.8544, 6.8533, 7.6943 Å; angles 90.00, 108.02, 90.00 degrees
Atoms (fractional coordinates):
Ce: 0.0000 0.0000 0.0000
Sc: 0.0000 0.5000 0.0000
Sc: 0.3356 0.0000 0.6626
Sc: 0.3458 0.5000 0.6804
Sc: 0.6542 0.5000 0.3196
Sc: 0.6644 0.0000 0.3374
Al: 0.1675 0.2650 0.3479
Al: 0.1675 0.7350 0.3479
Al: 0.5000 0.2599 0.0000
Al: 0.5000 0.7401 0.0000
Al: 0.8325 0.2650 0.6521
Al: 0.8325 0.7350 0.6521